Entry 1:
An optimized crystal structure of Pr6Sm2YHo. Source: Alexandria via LeMat-Bulk, functional PBE-GGA.

## Properties
The density is 6.61 g/cm³. The value obtained for the energy relative to the elements is 11 kJ per mole of atoms. The value obtained for the density of states at the Fermi level is 28.959 states/eV/cell. The calculation puts the magnetization at 0.00 μB per cell.

Cell: 9.0692 9.0692 9.8071 Å, 94.02 94.02 118.30°
Fractional coordinates of all 20 atoms:
Pr  0.0113  0.5677  0.1900
Pr  0.1205  0.7600  0.5530
Pr  0.2400  0.8795  0.9470
Pr  0.2910  0.5033  0.3823
Pr  0.4323  0.9887  0.3100
Pr  0.4967  0.7090  0.1177
Pr  0.5033  0.2910  0.8823
Pr  0.5677  0.0113  0.6900
Pr  0.7090  0.4967  0.6177
Pr  0.7600  0.1205  0.0530
Pr  0.8795  0.2400  0.4470
Pr  0.9887  0.4323  0.8100
Sm  0.1979  0.2991  0.0440
Sm  0.2991  0.1979  0.5440
Sm  0.7009  0.8021  0.4560
Sm  0.8021  0.7009  0.9560
Y  0.0241  0.9759  0.2500
Y  0.9759  0.0241  0.7500
Ho  0.4108  0.5892  0.7500
Ho  0.5892  0.4108  0.2500

Entry 2:
An optimized crystal structure of Pr2Sm4Y2Ho. Source: Alexandria via LeMat-Bulk, functional PBE-GGA.

## Properties
The density is 6.70 g/cm³. The value obtained for the energy relative to the elements is 0 kJ per mole of atoms. The value obtained for the density of states at the Fermi level is 11.968 states/eV/cell. The calculation puts the magnetization at 0.00 μB per cell.

Cell: 9.6540 9.6540 9.7172 Å, 115.17 115.17 21.86°
Fractional coordinates of all 9 atoms:
Pr  0.1653  0.1653  0.4993
Pr  0.8347  0.8347  0.5007
Sm  0.0188  0.0188  0.8334
Sm  0.3145  0.3145  0.1655
Sm  0.6855  0.6855  0.8345
Sm  0.9812  0.9812  0.1666
Y  0.3531  0.3531  0.8354
Y  0.6469  0.6469  0.1646
Ho  0.5000  0.5000  0.5000